(1)
Material: Hf2CdInAu
Method: DFT, PBE
State: relaxed

Cell: 5.163 5.163 5.111 Å, 90.00 90.00 90.00°
Atoms (fractional coordinates):
Hf: 0.000 0.500 0.000
Hf: 0.500 0.000 0.000
Cd: 0.000 0.000 0.500
In: 0.500 0.500 0.500
Au: 0.000 0.000 0.000

Calculated values
As for the size of the total moment: 0.0 μB per formula unit. The space group is P4/mmm (123). The value obtained for the total energy is -0.3568 Ry per atom. The calculation puts the energy of formation from the pure elements at 0.513 eV/atom.

***

(2)
Material: La12Y6Ho
Method: DFT, PBE
State: relaxed

Cell: 9.351 9.351 9.351 Å, 106.66 106.66 106.66°
Atoms (fractional coordinates):
La: 0.118 0.819 0.287
La: 0.181 0.713 0.882
La: 0.192 0.588 0.492
La: 0.287 0.118 0.819
La: 0.412 0.508 0.808
La: 0.492 0.192 0.588
La: 0.508 0.808 0.412
La: 0.588 0.492 0.192
La: 0.713 0.882 0.181
La: 0.808 0.412 0.508
La: 0.819 0.287 0.118
La: 0.882 0.181 0.713
Y: 0.090 0.194 0.438
Y: 0.194 0.438 0.090
Y: 0.438 0.090 0.194
Y: 0.562 0.910 0.806
Y: 0.806 0.562 0.910
Y: 0.910 0.806 0.562
Ho: 0.000 0.000 0.000

Calculated values
As for the size of the total moment: 0.0 μB per formula unit. The space group is R-3 (148). The value obtained for the total energy is -0.3800 Ry per atom. The calculation puts the energy of formation from the pure elements at 0.224 eV/atom.

***

(3)
Material: SrZnAu4
Method: DFT, PBE
State: relaxed

Cell: 7.623 7.623 5.937 Å, 96.97 96.97 51.13°
Atoms (fractional coordinates):
Sr: 0.205 0.205 0.161
Sr: 0.795 0.795 0.839
Zn: 0.475 0.475 0.704
Zn: 0.525 0.525 0.296
Au: 0.110 0.674 0.383
Au: 0.212 0.788 0.000
Au: 0.287 0.287 0.676
Au: 0.326 0.890 0.617
Au: 0.674 0.110 0.383
Au: 0.713 0.713 0.324
Au: 0.788 0.212 0.000
Au: 0.890 0.326 0.617

Calculated values
As for the size of the total moment: 0.0 μB per formula unit. The space group is C2/m (12). The value obtained for the total energy is -0.2263 Ry per atom. The value obtained for the energy above the most stable polymorph in this dataset is 23 kJ/mol of formula units. The calculation puts the energy of formation from the pure elements at -0.401 eV/atom.

***

(4)
Material: KEuBi
Method: DFT, PBE
State: relaxed

Cell: 5.728 5.728 5.728 Å, 60.00 60.00 60.00°
Atoms (fractional coordinates):
K: 0.000 0.000 0.000
Eu: 0.500 0.500 0.500
Bi: 0.250 0.250 0.250

Calculated values
As for the size of the total moment: 7.0 μB per formula unit. The space group is F-43m (216). The value obtained for the total energy is -0.4141 Ry per atom. The calculation puts the energy of formation from the pure elements at -0.550 eV/atom.

***

(5)
Material: Cs2BeSe
Method: DFT, PBE
State: relaxed

Cell: 6.083 6.083 6.083 Å, 60.00 60.00 60.00°
Atoms (fractional coordinates):
Cs: 0.250 0.250 0.250
Cs: 0.750 0.750 0.750
Be: 0.000 0.000 0.000
Se: 0.500 0.500 0.500

Calculated values
Its formation energy without anion corrections is 0.034 eV/atom. As for the size of the total moment: 0.0 μB per formula unit. The space group is Fm-3m (225). The value obtained for the total energy is -0.1613 Ry per atom. The value obtained for the energy above the most stable polymorph in this dataset is 0 kJ/mol of formula units.

***

(6)
Material: CeMg14Ni
Method: DFT, PBE
State: relaxed

Cell: 6.413 6.413 10.206 Å, 90.00 90.00 120.00°
Atoms (fractional coordinates):
Ce: 0.000 0.000 0.000
Mg: 0.016 0.508 0.000
Mg: 0.160 0.321 0.271
Mg: 0.160 0.321 0.729
Mg: 0.160 0.840 0.271
Mg: 0.160 0.840 0.729
Mg: 0.492 0.508 0.000
Mg: 0.492 0.984 0.000
Mg: 0.505 0.010 0.500
Mg: 0.505 0.495 0.500
Mg: 0.667 0.333 0.236
Mg: 0.667 0.333 0.764
Mg: 0.679 0.840 0.271
Mg: 0.679 0.840 0.729
Mg: 0.990 0.495 0.500
Ni: 0.000 0.000 0.500

Calculated values
As for the size of the total moment: 2.0 μB per formula unit. The space group is P-6m2 (187). The value obtained for the total energy is -0.1514 Ry per atom. The value obtained for the energy above the most stable polymorph in this dataset is 46 kJ/mol of formula units. The calculation puts the energy of formation from the pure elements at 0.067 eV/atom.

***

(7)
Material: CaTi2Tc
Method: DFT, PBE
State: relaxed

Cell: 9.184 9.184 9.184 Å, 149.16 149.16 44.17°
Atoms (fractional coordinates):
Ca: 0.000 0.000 0.000
Ca: 0.750 0.250 0.500
Ti: 0.358 0.125 0.733
Ti: 0.375 0.642 0.767
Ti: 0.392 0.625 0.267
Ti: 0.875 0.608 0.233
Tc: 0.250 0.750 0.500
Tc: 0.500 0.500 0.000

Calculated values
As for the size of the total moment: 0.0 μB per formula unit. The space group is I-42d (122). The value obtained for the total energy is -0.4531 Ry per atom. The value obtained for the energy above the most stable polymorph in this dataset is 227 kJ/mol of formula units. The calculation puts the energy of formation from the pure elements at 0.874 eV/atom.

***

(8)
Material: Na2NiAs2Pd
Method: DFT, PBE
State: relaxed

Cell: 7.819 7.819 7.819 Å, 134.70 65.66 135.14°
Atoms (fractional coordinates):
Na: 0.170 0.239 0.410
Na: 0.330 0.739 0.069
Na: 0.670 0.261 0.931
Na: 0.830 0.761 0.590
Ni: 0.250 0.750 0.500
Ni: 0.750 0.250 0.500
As: 0.096 0.725 0.821
As: 0.404 0.225 0.628
As: 0.596 0.775 0.372
As: 0.904 0.275 0.179
Pd: 0.250 0.250 0.000
Pd: 0.750 0.750 0.000

Calculated values
As for the size of the total moment: 0.0 μB per formula unit. The space group is Ibam (72). The value obtained for the total energy is -0.3099 Ry per atom. The calculation puts the energy of formation from the pure elements at -0.397 eV/atom.